First-principles (PBE-GGA) data for an optimized crystal structure of Ca2SeI, as listed in the Alexandria database.

Cell: 4.2595 4.2595 23.0923 Å, 90.00 90.00 120.00°
Last column: nearest neighbours and their distance in Å.
Space group R3m (No. 160, hexagonal axes)
One atom of each set of equivalent atoms:
Ca1 0.0000 0.0000 0.0000 [3 per cell]  3 Se 2.87
Ca2 0.0000 0.0000 0.1983 [3 per cell]  3 Se 2.95
Se1 0.0000 0.0000 0.6023 [3 per cell]  6 Ca 2.87-2.95
I1 0.0000 0.0000 0.4293 [3 per cell]  6 Ca 3.31-3.41

Results
Its volume is 363 Å³/cell. As for the energy relative to the elements, uncorrected: -1.50 eV per atom. The mass density comes out at 3.93 g/cm³. Its energy is -3.76 eV per atom. For the relative energy among the computed polymorphs, the calculation gives 2.8 meV/atom.